## a
The following is a SCAN calculation of a crystal of BeAs relaxed with PBEsol, from Alexandria.

a b c (Å): 3.3440 3.8938 5.3910
angles (deg): 107.36 90.00 115.43
With the nearest neighbours (Å) after each atom.
Sites, in units of the cell vectors:
Be: 0.8895 0.7791 0.5925  1 Be 2.11, 1 As 2.24
Be: 0.1105 0.2209 0.4075  1 Be 2.11, 1 As 2.24
As: 0.6392 0.2784 0.7621  5 Be 2.24-2.50
As: 0.3608 0.7216 0.2379  5 Be 2.24-2.50

Properties
**N(E_F)**: 0.712 states/eV per cell

***

## b
The following is a SCAN calculation of a crystal of BeAs relaxed with PBEsol, from Alexandria.

a b c (Å): 2.6985 3.5615 6.1309
angles (deg): 90.00 90.00 90.00
With the nearest neighbours (Å) after each atom.
Sites, in units of the cell vectors:
Be: 0.5000 0.7500 0.1151  2 Be 2.27, 4 As 2.43
Be: 0.5000 0.2500 0.8849  2 Be 2.27, 4 As 2.43
As: 0.0000 0.7500 0.7277  4 Be 2.43, 2 As 2.70
As: 0.0000 0.2500 0.2723  4 Be 2.43, 2 As 2.70

Properties
**N(E_F)**: 1.537 states/eV per cell

***

Result of the stability comparison: a is the most stable of them.

***

## a
The following is a SCAN calculation of a crystal of BeAs relaxed with PBEsol, from Alexandria.

a b c (Å): 2.6339 2.6339 8.1978
angles (deg): 90.00 90.00 90.00
With the nearest neighbours (Å) after each atom.
Sites, in units of the cell vectors:
Be: 0.5000 0.0000 0.5835  4 Be 2.31
Be: 0.0000 0.5000 0.4165  4 Be 2.31
As: 0.5000 0.0000 0.1818  4 As 2.63, 4 Be 2.68
As: 0.0000 0.5000 0.8182  4 As 2.63, 4 Be 2.68

Properties
**N(E_F)**: 0.961 states/eV per cell

***

## b
The following is a SCAN calculation of a crystal of BeAs relaxed with PBEsol, from Alexandria.

a b c (Å): 3.3331 3.3331 6.7012
angles (deg): 90.00 90.00 120.00
With the nearest neighbours (Å) after each atom.
Sites, in units of the cell vectors:
Be: 0.6667 0.3333 0.6521  4 As 2.18-2.25
Be: 0.3333 0.6667 0.1521  4 As 2.18-2.25
As: 0.6667 0.3333 0.9769  4 Be 2.18-2.25
As: 0.3333 0.6667 0.4769  4 Be 2.18-2.25

Properties
**N(E_F)**: 1.231 states/eV per cell

***

Result of the stability comparison: b is the most stable of them.

***

## a
The following is a SCAN calculation of a crystal of Be2As relaxed with PBEsol, from Alexandria.

a b c (Å): 3.2756 3.2756 4.0557
angles (deg): 113.82 113.82 90.00
With the nearest neighbours (Å) after each atom.
Sites, in units of the cell vectors:
Be: 0.6587 0.6587 0.3174  1 Be 2.11, 1 As 2.27
Be: 0.3413 0.3413 0.6826  1 Be 2.11, 1 As 2.27
As: 0.0000 0.0000 0.0000  2 Be 2.27

Properties
**N(E_F)**: 1.264 states/eV per cell

***

## b
The following is a SCAN calculation of a crystal of Be2As relaxed with PBEsol, from Alexandria.

a b c (Å): 2.6658 2.6658 5.5077
angles (deg): 104.01 104.01 90.00
With the nearest neighbours (Å) after each atom.
Sites, in units of the cell vectors:
Be: 0.1916 0.1916 0.3832  4 Be 2.24
Be: 0.8084 0.8084 0.6168  4 Be 2.24
As: 0.5000 0.5000 0.0000  4 As 2.67, 8 Be 2.74

Properties
**N(E_F)**: 0.880 states/eV per cell

***

Result of the stability comparison: a is the most stable of them.

***

## a
The following is a SCAN calculation of a crystal of Be2AsBr relaxed with PBEsol, from Alexandria.

a b c (Å): 2.8777 6.0011 6.0011
angles (deg): 79.07 76.13 76.13
With the nearest neighbours (Å) after each atom.
Sites, in units of the cell vectors:
Be: 0.0221 0.9779 0.9779  2 As 2.27, 2 Be 2.40
Be: 0.7403 0.7597 0.7597  2 Br 2.10
As: 0.3231 0.1769 0.1769  2 Be 2.27
Br: 0.4145 0.5855 0.5855  2 Be 2.10

Properties
**N(E_F)**: 1.082 states/eV per cell

***

## b
The following is a SCAN calculation of a crystal of Be2AsBr relaxed with PBEsol, from Alexandria.

a b c (Å): 3.5835 3.6551 6.4250
angles (deg): 93.01 90.00 119.35
With the nearest neighbours (Å) after each atom.
Sites, in units of the cell vectors:
Be: 0.0202 0.0405 0.8498  3 Be 2.19-2.28
Be: 0.3653 0.7307 0.9639  3 Be 2.19-2.28, 3 As 2.21-2.26, 1 Br 2.34
As: 0.7069 0.4137 0.0810  3 Be 2.21-2.26
Br: 0.4076 0.8151 0.6053  3 Be 2.34-2.46

***

Result of the stability comparison: b is the most stable of them.

***

## a
The following is a SCAN calculation of a crystal of Be2AsBr relaxed with PBEsol, from Alexandria.

a b c (Å): 4.5045 4.5045 4.5045
angles (deg): 60.00 60.00 60.00
With the nearest neighbours (Å) after each atom.
Sites, in units of the cell vectors:
Be: 0.0000 0.0000 0.0000  4 Be 2.76, 4 Br 2.76
Be: 0.2500 0.2500 0.2500  4 As 2.76, 4 Be 2.76
As: 0.5000 0.5000 0.5000  4 Br 2.76, 4 Be 2.76
Br: 0.7500 0.7500 0.7500  4 Be 2.76, 4 As 2.76

Properties
**N(E_F)**: 1.871 states/eV per cell

***

## b
The following is a SCAN calculation of a crystal of Be2AsBr relaxed with PBEsol, from Alexandria.

a b c (Å): 5.2388 5.2388 6.4704
angles (deg): 113.88 113.88 90.00
With the nearest neighbours (Å) after each atom.
Sites, in units of the cell vectors:
Be: 0.4138 0.8750 0.2500  2 As 2.17, 2 Br 2.40
Be: 0.8362 0.3750 0.2500  2 As 2.17, 2 Br 2.40
Be: 0.1250 0.1638 0.7500  2 As 2.17, 2 Br 2.40
Be: 0.6250 0.5862 0.7500  2 As 2.17, 2 Br 2.40
As: 0.7500 0.2500 0.5000  4 Be 2.17
As: 0.5000 0.5000 0.0000  4 Be 2.17
Br: 0.2500 0.7500 0.5000  4 Be 2.40
Br: 0.0000 0.0000 0.0000  4 Be 2.40

Properties
**N(E_F)**: 0.000 states/eV per cell

***

Result of the stability comparison: b is the most stable of them.

***

## a
The following is a SCAN calculation of a crystal of BeAs2Br relaxed with PBEsol, from Alexandria.

a b c (Å): 3.0784 4.3441 6.9598
angles (deg): 108.18 102.78 90.00
With the nearest neighbours (Å) after each atom.
Sites, in units of the cell vectors:
Be: 0.5236 0.5236 0.0473  2 Br 2.23
As: 0.9668 0.9668 0.9336  2 As 2.57, 4 Be 2.76
As: 0.8607 0.3607 0.7213  2 As 2.57, 2 Be 2.60
Br: 0.1489 0.6489 0.2978  2 Be 2.23

Properties
**N(E_F)**: 0.658 states/eV per cell

***

## b
The following is a SCAN calculation of a crystal of BeAs2Br relaxed with PBEsol, from Alexandria.

a b c (Å): 2.9789 4.9235 4.9235
angles (deg): 90.00 90.00 90.00
With the nearest neighbours (Å) after each atom.
Sites, in units of the cell vectors:
Be: 0.5000 0.5000 0.5000  8 As 2.88, 2 Be 2.98
As: 0.0000 0.0000 0.5000  4 Be 2.88, 4 Br 2.88, 2 As 2.98
As: 0.0000 0.5000 0.0000  4 Be 2.88, 4 Br 2.88, 2 As 2.98
Br: 0.5000 0.0000 0.0000  8 As 2.88, 2 Br 2.98

Properties
**N(E_F)**: 1.829 states/eV per cell

***

Result of the stability comparison: a is the most stable of them.